Density functional theory data (PBE) for an optimized crystal structure of Rb2TlSbW.

Summary:
M_tot   4.939 μB per formula unit
Crystal system   tetragonal
Energy relative to the elements, uncorrected   1.407 eV per atom
Calculated total energy   -14.342 eV for the cell shown
D(E_F)   0.31 states/eV per atom

Lattice parameters (Å, degrees): 7.0849 5.5082 7.0849 90.00 90.00 90.00
Last column: nearest neighbours and their distance in Å.
Element x y z (fractional)
W: 0.5000 0.5000 0.5000  8 Rb 4.49, 4 Sb 5.01
Sb: 0.0000 0.5000 0.0000  2 Tl 2.75
Rb: 0.0000 0.0000 0.5000  2 Tl 3.54
Tl: 0.0000 0.0000 0.0000  2 Sb 2.75
Rb: 0.5000 0.0000 0.0000  2 Tl 3.54


Density functional theory data (PBE) for an optimized crystal structure of CeTm6In3.

Summary:
M_tot   1.305 μB per formula unit
Formation energy from the elements   -0.0977 eV/atom
Crystal system   orthorhombic
Calculated total energy   -83.910 eV for the cell shown
D(E_F)   1.62 states/eV per atom

Lattice parameters (Å, degrees): 7.6921 9.0728 9.0728 110.53 90.00 90.00
Last column: nearest neighbours and their distance in Å.
Element x y z (fractional)
In: 0.3200 0.4469 0.5531  7 Tm 3.18-3.26
Tm: 0.6211 0.2971 0.7029  3 In 3.22-3.27, 6 Tm 3.43-3.52
In: 0.9305 0.0178 0.2785  6 Tm 3.04-3.30, 1 In 3.06, 1 Ce 3.39
Tm: 0.7991 0.0535 0.9465  4 In 3.30-3.42, 1 Ce 3.35, 6 Tm 3.38-3.67
In: 0.4305 0.9822 0.7215  6 Tm 3.04-3.30, 1 In 3.06, 1 Ce 3.39
Tm: 0.6070 0.2348 0.3035  4 In 3.07-3.26, 2 Tm 3.33-3.41
Tm: 0.1211 0.7029 0.2971  3 In 3.22-3.27, 6 Tm 3.43-3.52
Tm: 0.7940 0.4505 0.0738  3 In 3.04-3.19, 1 Ce 3.22, 2 Tm 3.33-3.38
Ce: 0.0821 0.2243 0.7757  5 Tm 3.22-3.54, 2 In 3.39
Tm: 0.1070 0.3035 0.2348  4 In 3.07-3.26, 2 Tm 3.33-3.41
Ce: 0.5821 0.7757 0.2243  5 Tm 3.22-3.54, 2 In 3.39
In: 0.8200 0.5531 0.4469  7 Tm 3.18-3.26
Tm: 0.7940 0.9262 0.5495  3 In 3.04-3.19, 1 Ce 3.22, 2 Tm 3.33-3.38
Tm: 0.2940 0.0738 0.4505  3 In 3.04-3.19, 1 Ce 3.22, 2 Tm 3.33-3.38
Tm: 0.2940 0.5495 0.9262  3 In 3.04-3.19, 1 Ce 3.22, 2 Tm 3.33-3.38
In: 0.4305 0.2785 0.0178  6 Tm 3.04-3.30, 1 In 3.06, 1 Ce 3.39
Tm: 0.6070 0.6965 0.7652  4 In 3.07-3.26, 2 Tm 3.33-3.41
Tm: 0.2991 0.9465 0.0535  4 In 3.30-3.42, 1 Ce 3.35, 6 Tm 3.38-3.67
In: 0.9305 0.7215 0.9822  6 Tm 3.04-3.30, 1 In 3.06, 1 Ce 3.39
Tm: 0.1070 0.7652 0.6965  4 In 3.07-3.26, 2 Tm 3.33-3.41


Density functional theory data (PBE) for an optimized crystal structure of MgAl3Cu.

Summary:
E above lowest polymorph   0.000 eV/atom
M_tot   0.000 μB per formula unit
Formation energy from the elements   -0.1081 eV/atom
Crystal system   orthorhombic
Calculated total energy   -69.836 eV for the cell shown
D(E_F)   0.36 states/eV per atom

Lattice parameters (Å, degrees): 3.8534 8.0562 11.0499 90.00 90.00 90.00
Last column: nearest neighbours and their distance in Å.
Element x y z (fractional)
Al: 0.2500 0.9229 0.7865  2 Cu 2.43-2.47
Al: 0.7500 0.0771 0.2135  2 Cu 2.43-2.47
Al: 0.7500 0.5771 0.2865  2 Cu 2.43-2.47
Mg: 0.7500 0.8363 0.9881  2 Cu 2.80, 2 Al 3.03
Al: 0.2500 0.5512 0.0856  3 Cu 2.50-2.53, 1 Al 2.67
Al: 0.7500 0.1688 0.7846  2 Cu 2.58, 4 Al 2.67-2.82
Al: 0.2500 0.4229 0.7135  2 Cu 2.43-2.47
Mg: 0.2500 0.6637 0.4881  2 Cu 2.80, 2 Al 3.03
Cu: 0.7500 0.8571 0.3694  7 Al 2.43-2.58
Al: 0.2500 0.3312 0.2846  2 Cu 2.58, 4 Al 2.67-2.82
Al: 0.7500 0.6688 0.7154  2 Cu 2.58, 4 Al 2.67-2.82
Al: 0.2500 0.8312 0.2154  2 Cu 2.58, 4 Al 2.67-2.82
Cu: 0.2500 0.6429 0.8694  7 Al 2.43-2.58
Al: 0.7500 0.9488 0.5856  3 Cu 2.50-2.53, 1 Al 2.67
Mg: 0.7500 0.3363 0.5119  2 Cu 2.80, 2 Al 3.03
Mg: 0.2500 0.1637 0.0119  2 Cu 2.80, 2 Al 3.03
Cu: 0.2500 0.1429 0.6306  7 Al 2.43-2.58
Al: 0.2500 0.0512 0.4144  3 Cu 2.50-2.53, 1 Al 2.67
Al: 0.7500 0.4488 0.9144  3 Cu 2.50-2.53, 1 Al 2.67
Cu: 0.7500 0.3571 0.1306  7 Al 2.43-2.58


Density functional theory data (PBE) for an optimized crystal structure of LiAu3N.

Summary:
E above lowest polymorph   0.000 eV/atom
M_tot   0.000 μB per formula unit
Crystal system   cubic
Energy relative to the elements, uncorrected   0.450 eV per atom
Calculated total energy   -17.823 eV for the cell shown
D(E_F)   0.37 states/eV per atom

Lattice parameters (Å, degrees): 4.4398 4.4398 4.4398 90.00 90.00 90.00
Last column: nearest neighbours and their distance in Å.
Element x y z (fractional)
Li: 0.5000 0.5000 0.5000  12 Au 3.14
Au: 0.0000 0.0000 0.5000  2 N 2.22
Au: 0.5000 0.0000 0.0000  2 N 2.22
N: 0.0000 0.0000 0.0000  6 Au 2.22
Au: 0.0000 0.5000 0.0000  2 N 2.22


Density functional theory data (PBE) for an optimized crystal structure of Li2ZnFeNi.

Summary:
M_tot   2.834 μB per formula unit
Formation energy from the elements   0.9925 eV/atom
Crystal system   tetragonal
Calculated total energy   -14.383 eV for the cell shown
D(E_F)   1.11 states/eV per atom

Lattice parameters (Å, degrees): 4.3808 4.6003 4.3808 90.00 90.00 90.00
Last column: nearest neighbours and their distance in Å.
Element x y z (fractional)
Li: 0.0000 0.0000 0.5000  2 Fe 2.19
Ni: 0.5000 0.5000 0.5000  4 Zn 3.10, 8 Li 3.18
Zn: 0.0000 0.5000 0.0000  2 Fe 2.30
Li: 0.5000 0.0000 0.0000  2 Fe 2.19
Fe: 0.0000 0.0000 0.0000  4 Li 2.19, 2 Zn 2.30


Density functional theory data (PBE) for an optimized crystal structure of KMgAg2.

Summary:
M_tot   0.000 μB per formula unit
Formation energy from the elements   0.0585 eV/atom
Crystal system   orthorhombic
Calculated total energy   -8.161 eV for the cell shown
D(E_F)   0.33 states/eV per atom

Lattice parameters (Å, degrees): 4.7260 3.2784 7.0951 76.64 90.00 90.00
Last column: nearest neighbours and their distance in Å.
Element x y z (fractional)
Ag: 0.5000 0.0866 0.2011  2 Mg 2.79-2.80, 2 Ag 2.90
Mg: 0.5000 0.7514 0.8735  6 Ag 2.79-2.93
K: 0.0000 0.4525 0.4683  2 K 3.28, 5 Ag 3.37-3.42
Ag: 0.0000 0.2096 0.9571  2 Ag 2.90, 4 Mg 2.93


Density functional theory data (PBE) for an optimized crystal structure of BaZr2.

Summary:
E above lowest polymorph   0.150 eV/atom
M_tot   0.000 μB per formula unit
Formation energy from the elements   0.4687 eV/atom
Crystal system   trigonal
Calculated total energy   -17.613 eV for the cell shown
D(E_F)   1.18 states/eV per atom

Lattice parameters (Å, degrees): 3.4041 3.4041 8.8358 90.00 90.00 120.00
Last column: nearest neighbours and their distance in Å.
Element x y z (fractional)
Ba: 0.0000 0.0000 0.0000  6 Ba 3.40, 6 Zr 3.79
Zr: 0.6667 0.3333 0.3663  9 Zr 3.07-3.40
Zr: 0.3333 0.6667 0.6337  9 Zr 3.07-3.40


Density functional theory data (PBE) for an optimized crystal structure of K2Tl2InSn.

Summary:
M_tot   0.000 μB per formula unit
Formation energy from the elements   -0.1637 eV/atom
Crystal system   orthorhombic
Calculated total energy   -29.302 eV for the cell shown
D(E_F)   0.38 states/eV per atom

Lattice parameters (Å, degrees): 6.8796 6.8119 10.1660 109.57 109.78 90.00
Last column: nearest neighbours and their distance in Å.
Element x y z (fractional)
K: 0.4158 0.1687 0.3374  5 Tl 3.52-3.80, 2 Sn 3.86, 2 In 3.88
K: 0.5842 0.8313 0.6626  5 Tl 3.52-3.80, 2 Sn 3.86, 2 In 3.88
Tl: 0.1338 0.8814 0.7629  2 In 3.21, 2 Sn 3.23, 4 K 3.52-3.56
K: 0.0784 0.3313 0.6626  5 Tl 3.52-3.80, 2 Sn 3.86, 2 In 3.88
Tl: 0.3709 0.6186 0.2371  2 In 3.21, 2 Sn 3.23, 4 K 3.52-3.56
Tl: 0.8662 0.1186 0.2371  2 In 3.21, 2 Sn 3.23, 4 K 3.52-3.56
In: 0.5000 0.2500 0.0000  4 Tl 3.21, 2 In 3.41, 2 Sn 3.44
Tl: 0.6291 0.3814 0.7629  2 In 3.21, 2 Sn 3.23, 4 K 3.52-3.56
K: 0.9216 0.6687 0.3374  5 Tl 3.52-3.80, 2 Sn 3.86, 2 In 3.88
Sn: 0.0000 0.7500 0.0000  4 Tl 3.23, 2 Sn 3.41, 2 In 3.44
Sn: 0.0000 0.2500 0.0000  4 Tl 3.23, 2 Sn 3.41, 2 In 3.44
In: 0.5000 0.7500 0.0000  4 Tl 3.21, 2 In 3.41, 2 Sn 3.44


Density functional theory data (PBE) for an optimized crystal structure of K3Tl2Pt4.

Summary:
M_tot   0.000 μB per formula unit
Formation energy from the elements   -0.1644 eV/atom
Crystal system   monoclinic
Calculated total energy   -33.668 eV for the cell shown
D(E_F)   0.45 states/eV per atom

Lattice parameters (Å, degrees): 4.6737 6.5398 9.1645 103.83 90.00 110.94
Last column: nearest neighbours and their distance in Å.
Element x y z (fractional)
K: 0.6352 0.2703 0.3703  6 Pt 3.42-3.52, 2 Tl 3.52-3.56
Pt: 0.0763 0.1527 0.6265  2 Pt 2.58-2.88, 2 Tl 2.74
K: 0.3648 0.7297 0.6297  6 Pt 3.42-3.52, 2 Tl 3.52-3.56
Pt: 0.9237 0.8473 0.3735  2 Pt 2.58-2.88, 2 Tl 2.74
Pt: 0.7648 0.5297 0.0805  3 Pt 2.74-2.88, 3 Tl 2.76-2.84
Tl: 0.6613 0.3226 0.7659  5 Pt 2.74-2.84
K: 0.0000 0.0000 0.0000  2 Pt 3.14
Tl: 0.3387 0.6774 0.2341  5 Pt 2.74-2.84
Pt: 0.2352 0.4703 0.9195  3 Pt 2.74-2.88, 3 Tl 2.76-2.84


Density functional theory data (PBE) for an optimized crystal structure of Sm12ErTm2.

Summary:
M_tot   0.000 μB per formula unit
Formation energy from the elements   0.1078 eV/atom
Crystal system   monoclinic
Calculated total energy   -137.036 eV for the cell shown
D(E_F)   1.27 states/eV per atom

Lattice parameters (Å, degrees): 6.7348 6.7348 24.9594 95.12 95.12 116.50
Last column: nearest neighbours and their distance in Å.
Element x y z (fractional)
Sm: 0.7642 0.2642 0.8371  8 Sm 3.47-3.84, 2 Tm 3.50-3.57, 1 Er 3.73
Sm: 0.0641 0.1242 0.0699  8 Sm 3.52-3.83, 3 Er 3.56-3.74
Sm: 0.3418 0.8418 0.4232  5 Sm 3.31-3.50, 1 Tm 3.67
Sm: 0.8101 0.3101 0.4242  7 Sm 3.31-3.59
Sm: 0.2291 0.7291 0.1185  5 Sm 3.33-3.57, 2 Er 3.49-3.51
Er: 0.9898 0.4898 0.9835  9 Sm 3.49-3.74, 2 Er 3.63-3.64
Tm: 0.4907 0.9907 0.7067  8 Sm 3.36-3.67, 2 Tm 3.42-3.73
Tm: 0.0248 0.5248 0.7267  2 Tm 3.42-3.73, 7 Sm 3.51-3.73
Sm: 0.3580 0.4244 0.1996  4 Sm 3.21-3.55
Sm: 0.9244 0.8580 0.1996  4 Sm 3.21-3.55
Sm: 0.0018 0.0345 0.3273  6 Sm 3.21-3.59, 3 Tm 3.36-3.59
Sm: 0.7358 0.2358 0.1629  8 Sm 3.47-3.84, 2 Tm 3.50-3.57, 1 Er 3.73
Sm: 0.4982 0.4655 0.6727  6 Sm 3.21-3.59, 3 Tm 3.36-3.59
Er: 0.5102 0.0102 0.0165  9 Sm 3.49-3.74, 2 Er 3.63-3.64
Sm: 0.4359 0.3758 0.9301  8 Sm 3.52-3.83, 3 Er 3.56-3.74
Sm: 0.1764 0.1457 0.5563  10 Sm 3.29-3.56
Sm: 0.5756 0.6420 0.8004  4 Sm 3.21-3.55
Sm: 0.1420 0.0756 0.8004  4 Sm 3.21-3.55
Sm: 0.6899 0.1899 0.5758  7 Sm 3.31-3.59
Sm: 0.6242 0.5641 0.0699  8 Sm 3.52-3.83, 3 Er 3.56-3.74
Sm: 0.3236 0.3543 0.4437  10 Sm 3.29-3.56
Sm: 0.6457 0.6764 0.5563  10 Sm 3.29-3.56
Sm: 0.8543 0.8236 0.4437  10 Sm 3.29-3.56
Sm: 0.1582 0.6582 0.5768  5 Sm 3.31-3.50, 1 Tm 3.67
Sm: 0.2709 0.7709 0.8815  5 Sm 3.33-3.57, 2 Er 3.49-3.51
Sm: 0.8758 0.9359 0.9301  8 Sm 3.52-3.83, 3 Er 3.56-3.74
Sm: 0.5345 0.5018 0.3273  6 Sm 3.21-3.59, 3 Tm 3.36-3.59
Sm: 0.9655 0.9982 0.6727  6 Sm 3.21-3.59, 3 Tm 3.36-3.59
Tm: 0.0093 0.5093 0.2933  8 Sm 3.36-3.67, 2 Tm 3.42-3.73
Tm: 0.4752 0.9752 0.2733  2 Tm 3.42-3.73, 7 Sm 3.51-3.73


Density functional theory data (PBE) for an optimized crystal structure of Sc5Ni2.

Summary:
E above lowest polymorph   0.028 eV/atom
M_tot   0.000 μB per formula unit
Formation energy from the elements   -0.2792 eV/atom
Crystal system   orthorhombic
Calculated total energy   -90.349 eV for the cell shown
D(E_F)   1.05 states/eV per atom

Lattice parameters (Å, degrees): 6.2331 6.3419 8.2284 112.67 112.26 90.00
Last column: nearest neighbours and their distance in Å.
Element x y z (fractional)
Sc: 0.0263 0.2763 0.5526  2 Ni 2.60
Sc: 0.4098 0.0429 0.8196  1 Ni 2.49
Sc: 0.9737 0.7237 0.4474  2 Ni 2.60
Sc: 0.4737 0.7237 0.4474  2 Ni 2.60
Ni: 0.6242 0.3772 0.2484  3 Sc 2.49-2.60
Sc: 0.5263 0.2763 0.5526  2 Ni 2.60
Sc: 0.2500 0.5000 0.0000  4 Ni 2.80, 8 Sc 3.07-3.12
Ni: 0.3758 0.6228 0.7516  3 Sc 2.49-2.60
Ni: 0.1242 0.8712 0.2484  3 Sc 2.49-2.60
Sc: 0.0902 0.2233 0.1804  1 Ni 2.49
Ni: 0.8758 0.1288 0.7516  3 Sc 2.49-2.60
Sc: 0.5902 0.9571 0.1804  1 Ni 2.49
Sc: 0.9098 0.7767 0.8196  1 Ni 2.49
Sc: 0.7500 0.5000 0.0000  4 Ni 2.80, 8 Sc 3.07-3.12